(1)
Here is LaHo2Zn2Ga2 after structural relaxation from Alexandria via LeMat-Bulk. Energies are from PBE-GGA.

Its crystal system is trigonal. The calculation puts the theoretical density at 7.49 g/cm³. The space group is R-3m, No. 166. The value obtained for the total DFT energy (no corrections) is -25.58 eV/f.u. As for the energy of formation from the pure elements: -0.413 eV/atom.

```
LaHo2Zn2Ga2
1.0
-4.0094 1.2744 1.5620
-1.8764 -2.2046 3.4290
2.2460 5.5156 7.7117
La Ho Zn Ga
1 2 2 2
Direct
0.0000 0.0000 0.0000 La
0.1290 0.1290 0.6129 Ho
0.8710 0.8710 0.3871 Ho
0.5930 0.5930 0.2211 Zn
0.4070 0.4070 0.7789 Zn
0.7447 0.7447 0.7658 Ga
0.2553 0.2553 0.2342 Ga
```

(2)
Here is SrOs3 after structural relaxation from Alexandria via LeMat-Bulk. Energies are from PBE-GGA.

Its crystal system is orthorhombic. The calculation puts the theoretical density at 14.44 g/cm³. The space group is Pmmm, No. 47. The value obtained for the total DFT energy (no corrections) is -32.62 eV/f.u. As for the energy of formation from the pure elements: 0.688 eV/atom.

```
SrOs3
1.0
-1.1292 -0.2116 2.5390
3.3991 -0.5400 1.4668
0.7387 7.1631 0.9255
Os Sr
3 1
Direct
0.5000 0.5000 0.6782 Os
0.0000 0.0000 0.5000 Os
0.5000 0.5000 0.3218 Os
0.0000 0.0000 0.0000 Sr
```

(3)
Here is PmNd2Ho6Er3 after structural relaxation from Alexandria via LeMat-Bulk. Energies are from PBE-GGA.

Its crystal system is monoclinic. The calculation puts the theoretical density at 8.39 g/cm³. The space group is C2/m, No. 12. The value obtained for the total DFT energy (no corrections) is -55.20 eV/f.u. As for the energy of formation from the pure elements: 0.020 eV/atom.

```
PmNd2Ho6Er3
1.0
6.1629 0.0012 0.0079
-3.0789 5.3387 0.0079
-1.0396 -1.8001 11.5757
Pm Nd Ho Er
1 2 6 3
Direct
0.0000 0.0000 0.0000 Pm
0.3333 0.6667 0.0000 Nd
0.6667 0.3333 0.0000 Nd
0.9144 0.5812 0.7457 Ho
0.7524 0.7524 0.2543 Ho
0.0856 0.4188 0.2543 Ho
0.5812 0.9144 0.7457 Ho
0.2476 0.2476 0.7457 Ho
0.4188 0.0856 0.2543 Ho
0.1666 0.8334 0.5000 Er
0.8334 0.1666 0.5000 Er
0.5000 0.5000 0.5000 Er
```

(4)
Here is Cd3Mo after structural relaxation from Alexandria via LeMat-Bulk. Energies are from PBE-GGA.

Its crystal system is hexagonal. The calculation puts the theoretical density at 9.17 g/cm³. The space group is P6_3/mmc, No. 194. The value obtained for the total DFT energy (no corrections) is -11.84 eV/f.u. As for the energy of formation from the pure elements: 0.435 eV/atom. The calculation puts the distance to the lowest polymorph of the same formula at 0.156 eV/atom.

```
Cd3Mo
1.0
3.9847 4.4633 -1.2003
-5.7487 1.3698 1.5218
1.2719 0.1261 4.6912
Cd Mo
6 2
Direct
0.8298 0.1702 0.2500 Cd
0.1702 0.8298 0.7500 Cd
0.8298 0.6596 0.2500 Cd
0.1702 0.3404 0.7500 Cd
0.3404 0.1702 0.2500 Cd
0.6596 0.8298 0.7500 Cd
0.3333 0.6667 0.2500 Mo
0.6667 0.3333 0.7500 Mo
```

(5)
Here is RbFe2AgCl6 after structural relaxation from Alexandria via LeMat-Bulk. Energies are from PBE-GGA.

Its crystal system is monoclinic. The calculation puts the theoretical density at 3.05 g/cm³. The space group is C2/c, No. 15. The value obtained for the total DFT energy (no corrections) is -40.87 eV/f.u. For the formation energy (no corrections), the calculation gives -905 meV/atom.

```
RbFe2AgCl6
1.0
9.0002 0.9553 0.6830
-0.1537 9.0494 0.6830
-1.8254 -2.0644 6.6356
Rb Fe Ag Cl
2 4 2 12
Direct
0.1945 0.8055 0.2500 Rb
0.8055 0.1945 0.7500 Rb
0.3039 0.1244 0.7848 Fe
0.8756 0.6961 0.7152 Fe
0.6961 0.8756 0.2152 Fe
0.1244 0.3039 0.2848 Fe
0.6016 0.3984 0.2500 Ag
0.3984 0.6016 0.7500 Ag
0.8924 0.4102 0.1894 Cl
0.5898 0.1076 0.3106 Cl
0.1076 0.5898 0.8106 Cl
0.4102 0.8924 0.6894 Cl
0.1666 0.1137 0.0214 Cl
0.8863 0.8334 0.4786 Cl
0.8334 0.8863 0.9786 Cl
0.1137 0.1666 0.5214 Cl
0.3119 0.4679 0.3712 Cl
0.5321 0.6881 0.1288 Cl
0.6881 0.5321 0.6288 Cl
0.4679 0.3119 0.8712 Cl
```

(6)
Here is Tm2MgPb3 after structural relaxation from Alexandria via LeMat-Bulk. Energies are from PBE-GGA.

Its crystal system is orthorhombic. The calculation puts the theoretical density at 10.22 g/cm³. The space group is Cmmm, No. 65. The value obtained for the total DFT energy (no corrections) is -23.67 eV/f.u. As for the energy of formation from the pure elements: -0.334 eV/atom. The calculation puts the distance to the lowest polymorph of the same formula at 0.000 eV/atom.

```
Tm2MgPb3
1.0
4.2230 0.0000 -1.3359
0.0000 4.6562 0.0000
0.2263 0.0000 8.0581
Tm Mg Pb
2 1 3
Direct
0.1557 0.5000 0.3115 Tm
0.8443 0.5000 0.6885 Tm
0.0000 0.0000 0.0000 Mg
0.3316 0.0000 0.6632 Pb
0.6684 0.0000 0.3368 Pb
0.5000 0.5000 0.0000 Pb
```

(7)
Here is LaY3Ru after structural relaxation from Alexandria via LeMat-Bulk. Energies are from PBE-GGA.

Its crystal system is hexagonal. The calculation puts the theoretical density at 5.44 g/cm³. The space group is P6_3/mmc, No. 194. The value obtained for the total DFT energy (no corrections) is -29.00 eV/f.u. As for the energy of formation from the pure elements: 0.918 eV/atom. The calculation puts the distance to the lowest polymorph of the same formula at 1.105 eV/atom.

```
LaY3Ru
1.0
-3.2095 2.7580 -2.0630
-1.3243 -3.1033 3.2831
2.2267 11.1391 11.4273
Y Ru La
6 2 2
Direct
0.0000 0.0000 0.2500 Y
0.0000 0.0000 0.7500 Y
0.3333 0.6667 0.9358 Y
0.3333 0.6667 0.5642 Y
0.6667 0.3333 0.4358 Y
0.6667 0.3333 0.0642 Y
0.0000 0.0000 0.0000 Ru
0.0000 0.0000 0.5000 Ru
0.3333 0.6667 0.7500 La
0.6667 0.3333 0.2500 La
```

(8)
Here is BaSn3B after structural relaxation from Alexandria via LeMat-Bulk. Energies are from PBE-GGA.

Its crystal system is cubic. The calculation puts the theoretical density at 3.43 g/cm³. The space group is Pm-3m, No. 221. The value obtained for the total DFT energy (no corrections) is -11.05 eV/f.u. As for the energy of formation from the pure elements: 1.912 eV/atom. The calculation puts the distance to the lowest polymorph of the same formula at 1.673 eV/atom.

```
BaSn3B
1.0
6.2509 0.0000 0.0000
0.0000 6.2509 0.0000
0.0000 0.0000 6.2509
B Ba Sn
1 1 3
Direct
0.5000 0.5000 0.5000 B
0.0000 0.0000 0.0000 Ba
0.0000 0.5000 0.0000 Sn
0.0000 0.0000 0.5000 Sn
0.5000 0.0000 0.0000 Sn
```

(9)
Here is CuSiTe2 after structural relaxation from Alexandria via LeMat-Bulk. Energies are from PBE-GGA.

Its crystal system is tetragonal. The calculation puts the theoretical density at 6.20 g/cm³. The space group is I-4m2, No. 119. The value obtained for the total DFT energy (no corrections) is -13.97 eV/f.u. For the formation energy (no corrections), the calculation gives 459 meV/atom.

```
CuSiTe2
1.0
6.6036 -0.0635 0.0000
4.3045 5.0082 0.0000
-5.4540 -2.4724 2.7842
Cu Si Te
1 1 2
Direct
0.5000 0.5000 0.0000 Cu
0.7500 0.2500 0.5000 Si
0.0000 0.0000 0.0000 Te
0.2500 0.7500 0.5000 Te
```

(10)
Here is CsAgBiAu2 after structural relaxation from Alexandria via LeMat-Bulk. Energies are from PBE-GGA.

Its crystal system is tetragonal. The calculation puts the theoretical density at 7.82 g/cm³. The space group is P4/mmm, No. 123. The value obtained for the total DFT energy (no corrections) is -14.26 eV/f.u. As for the energy of formation from the pure elements: -0.024 eV/atom.

```
CsAgBiAu2
1.0
5.6172 0.0000 0.0000
0.0000 5.6172 0.0000
0.0000 0.0000 5.6791
Cs Au Bi Ag
1 2 1 1
Direct
0.5000 0.5000 0.5000 Cs
0.0000 0.5000 0.0000 Au
0.5000 0.0000 0.0000 Au
0.0000 0.0000 0.0000 Bi
0.0000 0.0000 0.5000 Ag
```

(11)
Here is ZnReBAu2 after structural relaxation from Alexandria via LeMat-Bulk. Energies are from PBE-GGA.

Its crystal system is tetragonal. The calculation puts the theoretical density at 10.34 g/cm³. The space group is P4/mmm, No. 123. The value obtained for the total DFT energy (no corrections) is -16.52 eV/f.u. As for the energy of formation from the pure elements: 2.087 eV/atom.

```
ZnReBAu2
1.0
-0.3185 4.5219 1.2366
-4.1306 0.3558 -2.3646
-2.3325 -1.2280 3.8897
Re Zn B Au
1 1 1 2
Direct
0.0000 0.5000 0.0000 Re
0.0000 0.0000 0.0000 Zn
0.5000 0.5000 0.5000 B
0.0000 0.0000 0.5000 Au
0.5000 0.0000 0.0000 Au
```

(12)
Here is Pu3SiSn after structural relaxation from Alexandria via LeMat-Bulk. Energies are from PBE-GGA.

Its crystal system is hexagonal. The calculation puts the theoretical density at 11.39 g/cm³. The space group is P6_3/mmc, No. 194. The value obtained for the total DFT energy (no corrections) is -53.38 eV/f.u. For the formation energy (no corrections), the calculation gives -191 meV/atom.

```
Pu3SiSn
1.0
5.5078 0.0000 0.0000
0.0000 7.3285 -0.0011
0.0000 -3.6633 6.3472
Pu Si Sn
6 2 2
Direct
0.2500 0.8070 0.1930 Pu
0.7500 0.1930 0.8070 Pu
0.2500 0.8069 0.6141 Pu
0.7500 0.1931 0.3859 Pu
0.2500 0.3859 0.1931 Pu
0.7500 0.6141 0.8069 Pu
0.0000 0.0000 0.0000 Si
0.5000 0.0000 0.0000 Si
0.2500 0.3335 0.6665 Sn
0.7500 0.6665 0.3335 Sn
```